1.
Computed, not measured: a relaxed KSi2Mo crystal at the GGA-PBE level of DFT.

Cell and atoms, written as POSCAR:
```
KSi2Mo
1.0
2.807 0.000 0.000
0.000 2.807 0.000
0.000 0.000 9.441
K Si Mo
1 2 1
direct
0.000 0.000 0.000 K
0.000 0.000 0.516 Si
0.500 0.500 0.707 Si
0.500 0.500 0.327 Mo
```

Output
Mass density: 4.3 Mg/m³
Total magnetization: 0.0 Bohr magnetons per cell
Space-group type: No. 99
Formation energy (no corrections): 0.68 eV/atom

---

2.
Computed, not measured: a relaxed CsPtPb crystal at the GGA-PBE level of DFT.

Cell and atoms, written as POSCAR:
```
CsPtPb
1.0
6.642 -2.342 0.000
6.642 2.342 0.000
-0.996 0.000 6.956
Cs Pt Pb
2 2 2
direct
0.127 0.127 0.358 Cs
0.873 0.873 0.642 Cs
0.206 0.206 0.916 Pt
0.794 0.794 0.084 Pt
0.402 0.402 0.138 Pb
0.598 0.598 0.862 Pb
```

Output
Mass density: 8.2 Mg/m³
Total magnetization: 0.0 Bohr magnetons per cell
Space-group type: No. 12
Total energy: -22.634 eV for the cell shown

---

3.
Computed, not measured: a relaxed FeHg crystal at the GGA-PBE level of DFT.

Cell and atoms, written as POSCAR:
```
FeHg
1.0
2.962 0.000 0.000
0.000 3.838 0.000
0.000 0.000 6.511
Fe Hg
2 2
direct
0.250 0.250 0.030 Fe
0.750 0.750 0.970 Fe
0.250 0.750 0.345 Hg
0.750 0.250 0.655 Hg
```

Output
Mass density: 11.5 Mg/m³
Total magnetization: 5.4 Bohr magnetons per cell
Space-group type: No. 59
Total energy: -15.742 eV for the cell shown

---

4.
Computed, not measured: a relaxed Si3B crystal at the GGA-PBE level of DFT.

Cell and atoms, written as POSCAR:
```
Si3B
1.0
3.654 0.000 0.000
0.000 3.654 0.000
0.000 0.000 3.654
Si B
3 1
direct
0.000 0.000 0.500 Si
0.000 0.500 0.000 Si
0.500 0.000 0.000 Si
0.500 0.500 0.500 B
```

Output
Mass density: 3.2 Mg/m³
Total magnetization: 0.0 Bohr magnetons per cell
Space-group type: No. 221
Formation energy (no corrections): 0.97 eV/atom

---

5.
Computed, not measured: a relaxed BaPrH crystal at the GGA-PBE level of DFT.

Cell and atoms, written as POSCAR:
```
BaPrH
1.0
3.926 0.000 0.000
-1.963 3.400 0.000
0.000 0.000 6.568
Ba Pr H
1 1 1
direct
0.000 0.000 0.000 Ba
0.333 0.667 0.470 Pr
0.667 0.333 0.274 H
```

Output
Mass density: 5.3 Mg/m³
Total magnetization: 0.0 Bohr magnetons per cell
Space-group type: No. 156
Total energy: -10.295 eV for the cell shown

---

Question: Which formula does entry 4 have?
Answer: Si3B